# LaGdPt

A relaxed structure of LaGdPt (GGA-PBE, Alexandria).

## Properties
**Size of the total moment**: 7.22 μB/f.u.
**DFT total energy**: -9.111 eV per atom
**Polymorph energy (0 for the lowest one)**: 0.00 kcal/mol of atoms
**Space group**: F-43m
**Formation energy from the elements**: -0.76 eV/atom

POSCAR file:
```
LaGdPt
1.0
0.000 3.543 3.543
3.543 0.000 3.543
3.543 3.543 0.000
La Gd Pt
1 1 1
Direct
0.000 0.000 0.000 La
0.500 0.500 0.500 Gd
0.750 0.750 0.750 Pt
```